VASP calculation (PBE-GGA) on crystalline DyTaBi at its relaxed geometry.

Values from the calculation:
The distance to the lowest polymorph of the same formula is 0.000 eV per atom.

a = 8.3136 Å, b = 8.3136 Å, c = 5.3851 Å
α = 90.02°, β = 90.02°, γ = 24.62°
With the nearest neighbours (Å) after each atom.
Sites, in units of the cell vectors:
Ta  0.0000  0.0000  0.9396  2 Ta 2.69
Ta  0.0000  0.0000  0.4396  2 Ta 2.69
Bi  0.3703  0.3703  0.6897  4 Ta 3.06, 5 Dy 3.22-3.30
Bi  0.6297  0.6297  0.1898  4 Ta 3.06, 5 Dy 3.22-3.30
Dy  0.8277  0.8277  0.1896  2 Ta 3.11, 5 Bi 3.22-3.30
Dy  0.1723  0.1723  0.6897  2 Ta 3.11, 5 Bi 3.22-3.30